# 1
Computed, not measured: a relaxed structure of ZnSb3Te at the PBE-GGA level of DFT.

It has space group Pm-3m (No. 221), with a = 5.768 Å, b = 5.768 Å, c = 5.768 Å, α = 90.00°, β = 90.00° and γ = 90.00°. Symmetry generates all atoms from Zn at (0.000, 0.000, 0.000), Sb at (0.000, 0.500, 0.500) and Te at (0.500, 0.500, 0.500).

The value obtained for the final energy is -2.418 eV/atom. Its density is 4.83 g/cm³. The calculation puts the spin magnetization at 0.0 Bohr magnetons per cell. The energy above the most stable polymorph in this dataset comes out at 420 meV per atom. The value obtained for the density of states at the Fermi level is 1.22 states/eV per atom. The energy relative to the elements, uncorrected is 938 meV per atom.

# 2
Computed, not measured: a relaxed structure of CeAg3F12 at the PBE-GGA level of DFT.

It has space group R3c (No. 161, hexagonal axes), with a = 11.2886 Å, b = 11.2886 Å, c = 16.2092 Å, α = 90.00°, β = 90.00° and γ = 120.00°. Symmetry generates all atoms from Ce at (0.0000, 0.0000, 0.0000), Ag at (0.0002, 0.3394, 0.2505), F at (0.0406, 0.5187, 0.9061), F at (0.0603, 0.1829, 0.5743), F at (0.1838, 0.0614, 0.9265) and F at (0.1848, 0.3731, 0.9283).

The value obtained for the final energy is -4.075 eV/atom. Its density is 3.85 g/cm³. The calculation puts the spin magnetization at 7.2 Bohr magnetons per cell. The value obtained for the density of states at the Fermi level is 0.46 states/eV per atom. The energy relative to the elements, uncorrected is -1766 meV per atom.